[1]
DFT (PBE) results for a relaxed SmHoPu2 crystal.

The space group is P4/mmm (No. 123) and the conventional cell measures 4.841, 4.841 and 5.047 Å, with angles of 90.00, 90.00 and 90.00 degrees. The asymmetric unit holds Sm at (0.000, 0.000, 0.000), Ho at (0.500, 0.500, 0.000) and Pu at (0.000, 0.500, 0.500).

For the total magnetization, the calculation gives 12.619 Bohr magnetons per cell. As for the crystal system: tetragonal. The formation energy from the elements is 0.19 eV/atom.


[2]
DFT (PBE) results for a relaxed SmHo2Pu crystal.

The space group is R-3m (No. 166, hexagonal axes) and the conventional cell measures 3.4487, 3.4487 and 36.7409 Å, with angles of 90.00, 90.00 and 120.00 degrees. The asymmetric unit holds Sm at (0.0000, 0.0000, 0.0000), Ho at (0.0000, 0.0000, 0.4118) and Pu at (0.0000, 0.0000, 0.5000).

For the total magnetization, the calculation gives 19.238 Bohr magnetons per cell. As for the crystal system: trigonal. The formation energy from the elements is 0.27 eV/atom.


[3]
DFT (PBE) results for a relaxed Sm2HoPu crystal.

The space group is R-3m (No. 166, hexagonal axes) and the conventional cell measures 3.4552, 3.4552 and 36.9618 Å, with angles of 90.00, 90.00 and 120.00 degrees. The asymmetric unit holds Sm at (0.0000, 0.0000, 0.0907), Ho at (0.0000, 0.0000, 0.0000) and Pu at (0.0000, 0.0000, 0.5000).

For the total magnetization, the calculation gives 14.880 Bohr magnetons per cell. As for the crystal system: trigonal. The formation energy from the elements is 0.27 eV/atom.


[4]
DFT (PBE) results for a relaxed Sm12Ho3Pu crystal.

The space group is P4/mmm (No. 123) and the conventional cell measures 5.085, 5.085 and 20.320 Å, with angles of 90.00, 90.00 and 90.00 degrees. The asymmetric unit holds Sm at (0.000, 0.000, 0.000), Sm at (0.000, 0.000, 0.250), Sm at (0.000, 0.000, 0.500), Sm at (0.000, 0.500, 0.122), Sm at (0.000, 0.500, 0.374), Ho at (0.500, 0.500, 0.249), Ho at (0.500, 0.500, 0.500) and Pu at (0.500, 0.500, 0.000).

For the total magnetization, the calculation gives 6.244 Bohr magnetons per cell. As for the crystal system: tetragonal. The formation energy from the elements is 0.04 eV/atom.


[5]
DFT (PBE) results for a relaxed Sm7Ho4Pu crystal.

The space group is C2/m (No. 12) and the conventional cell measures 18.382, 5.366 and 8.032 Å, with angles of 90.00, 105.40 and 90.00 degrees. The asymmetric unit holds Sm at (0.000, 0.000, 0.000), Sm at (0.049, 0.500, 0.717), Sm at (0.144, 0.500, 0.198), Sm at (0.179, 0.000, 0.907), Ho at (0.091, 0.000, 0.449), Ho at (0.230, 0.500, 0.636) and Pu at (0.000, 0.500, 0.000).

For the total magnetization, the calculation gives 0.002 Bohr magnetons per cell. As for the crystal system: monoclinic. The formation energy from the elements is 0.34 eV/atom.


[6]
DFT (PBE) results for a relaxed Sm3Ho8Pu crystal.

The space group is I-42m (No. 121) and the conventional cell measures 8.643, 8.643 and 11.320 Å, with angles of 90.00, 90.00 and 90.00 degrees. The asymmetric unit holds Sm at (0.000, 0.000, 0.000), Sm at (0.000, 0.500, 0.250), Ho at (0.126, 0.126, 0.732), Ho at (0.230, 0.230, 0.468) and Pu at (0.000, 0.000, 0.500).

For the total magnetization, the calculation gives 7.975 Bohr magnetons per cell. As for the crystal system: tetragonal. The formation energy from the elements is 0.58 eV/atom.


[7]
DFT (PBE) results for a relaxed SmHoPu2 crystal.

The space group is P4/mmm (No. 123) and the conventional cell measures 3.422, 3.422 and 10.121 Å, with angles of 90.00, 90.00 and 90.00 degrees. The asymmetric unit holds Sm at (0.000, 0.000, 0.000), Ho at (0.000, 0.000, 0.500) and Pu at (0.500, 0.500, 0.254).

For the total magnetization, the calculation gives 12.760 Bohr magnetons per cell. As for the crystal system: tetragonal. The formation energy from the elements is 0.19 eV/atom.


[8]
DFT (PBE) results for a relaxed Sm6Ho8Pu crystal.

The space group is R-3 (No. 148, hexagonal axes) and the conventional cell measures 9.0399, 9.0399 and 20.4714 Å, with angles of 90.00, 90.00 and 120.00 degrees. The asymmetric unit holds Sm at (0.0702, 0.8171, 0.2077), Ho at (0.0000, 0.0000, 0.0763), Ho at (0.0823, 0.5240, 0.3068) and Pu at (0.0000, 0.0000, 0.5000).

For the total magnetization, the calculation gives 19.419 Bohr magnetons per cell. As for the crystal system: trigonal. The formation energy from the elements is 0.11 eV/atom.


[9]
DFT (PBE) results for a relaxed Sm3Ho6Pu crystal.

The space group is C2/m (No. 12) and the conventional cell measures 14.692, 6.476 and 8.884 Å, with angles of 90.00, 127.15 and 90.00 degrees. The asymmetric unit holds Sm at (0.000, 0.000, 0.000), Sm at (0.012, 0.500, 0.286), Ho at (0.202, 0.000, 0.455), Ho at (0.242, 0.251, 0.812) and Pu at (0.000, 0.000, 0.500).

For the total magnetization, the calculation gives 13.913 Bohr magnetons per cell. As for the crystal system: monoclinic. The formation energy from the elements is 0.34 eV/atom.


[10]
DFT (PBE) results for a relaxed SmHoPu4 crystal.

The space group is F-43m (No. 216) and the conventional cell measures 8.735, 8.735 and 8.735 Å, with angles of 90.00, 90.00 and 90.00 degrees. The asymmetric unit holds Sm at (0.000, 0.000, 0.000), Ho at (0.250, 0.250, 0.250) and Pu at (0.125, 0.125, 0.625).

For the total magnetization, the calculation gives 90.472 Bohr magnetons per cell. As for the crystal system: cubic. The formation energy from the elements is 0.24 eV/atom.


[11]
DFT (PBE) results for a relaxed Sm2HoPu crystal.

The space group is P4/mmm (No. 123) and the conventional cell measures 5.013, 5.013 and 5.004 Å, with angles of 90.00, 90.00 and 90.00 degrees. The asymmetric unit holds Sm at (0.000, 0.500, 0.000), Ho at (0.000, 0.000, 0.500) and Pu at (0.500, 0.500, 0.500).

For the total magnetization, the calculation gives 6.239 Bohr magnetons per cell. As for the crystal system: tetragonal. The formation energy from the elements is 0.15 eV/atom.


[12]
DFT (PBE) results for a relaxed Sm8Ho6Pu crystal.

The space group is P-3 (No. 147) and the conventional cell measures 9.8456, 9.8456 and 5.8402 Å, with angles of 90.00, 90.00 and 120.00 degrees. The asymmetric unit holds Sm at (0.0511, 0.2658, 0.2597), Sm at (0.3333, 0.6667, 0.2649), Ho at (0.0939, 0.4753, 0.7518) and Pu at (0.0000, 0.0000, 0.0000).

For the total magnetization, the calculation gives 4.321 Bohr magnetons per cell. As for the crystal system: trigonal. The formation energy from the elements is 0.13 eV/atom.


[13]
DFT (PBE) results for a relaxed Sm2HoPu crystal.

The space group is Fm-3m (No. 225) and the conventional cell measures 7.979, 7.979 and 7.979 Å, with angles of 90.00, 90.00 and 90.00 degrees. The asymmetric unit holds Sm at (0.250, 0.250, 0.250), Ho at (0.000, 0.000, 0.000) and Pu at (0.000, 0.000, 0.500).

For the total magnetization, the calculation gives 29.822 Bohr magnetons per cell. As for the crystal system: cubic. The formation energy from the elements is 0.21 eV/atom.


[14]
DFT (PBE) results for a relaxed Sm2HoPu crystal.

The space group is R3m (No. 160, hexagonal axes) and the conventional cell measures 3.5756, 3.5756 and 34.4110 Å, with angles of 90.00, 90.00 and 120.00 degrees. The asymmetric unit holds Sm at (0.0000, 0.0000, 0.0000), Sm at (0.0000, 0.0000, 0.1682), Ho at (0.0000, 0.0000, 0.7506) and Pu at (0.0000, 0.0000, 0.5842).

For the total magnetization, the calculation gives 18.057 Bohr magnetons per cell. As for the crystal system: trigonal. The formation energy from the elements is 0.11 eV/atom.


[15]
DFT (PBE) results for a relaxed SmHo2Pu crystal.

The space group is Fm-3m (No. 225) and the conventional cell measures 7.920, 7.920 and 7.920 Å, with angles of 90.00, 90.00 and 90.00 degrees. The asymmetric unit holds Sm at (0.000, 0.000, 0.000), Ho at (0.250, 0.250, 0.250) and Pu at (0.000, 0.000, 0.500).

For the total magnetization, the calculation gives 26.321 Bohr magnetons per cell. As for the crystal system: cubic. The formation energy from the elements is 0.20 eV/atom.


[16]
DFT (PBE) results for a relaxed Sm5Ho12Pu crystal.

The space group is C2/m (No. 12) and the conventional cell measures 18.407, 10.629 and 6.139 Å, with angles of 90.00, 109.38 and 90.00 degrees. The asymmetric unit holds Sm at (0.000, 0.000, 0.000), Sm at (0.165, 0.500, 0.992), Sm at (0.167, 0.000, 0.501), Ho at (0.000, 0.171, 0.500), Ho at (0.000, 0.336, 0.000), Ho at (0.165, 0.334, 0.499), Ho at (0.167, 0.167, 0.001) and Pu at (0.000, 0.500, 0.500).

For the total magnetization, the calculation gives 13.218 Bohr magnetons per cell. As for the crystal system: monoclinic. The formation energy from the elements is 0.03 eV/atom.


[17]
DFT (PBE) results for a relaxed SmHo2Pu crystal.

The space group is P4/mmm (No. 123) and the conventional cell measures 3.505, 3.505 and 10.003 Å, with angles of 90.00, 90.00 and 90.00 degrees. The asymmetric unit holds Sm at (0.000, 0.000, 0.000), Ho at (0.500, 0.500, 0.258) and Pu at (0.000, 0.000, 0.500).

For the total magnetization, the calculation gives 6.378 Bohr magnetons per cell. As for the crystal system: tetragonal. The formation energy from the elements is 0.10 eV/atom.


[18]
DFT (PBE) results for a relaxed Sm4Ho5Pu crystal.

The space group is Pmmn (No. 59, origin choice 2) and the conventional cell measures 10.189, 11.465 and 5.661 Å, with angles of 90.00, 90.00 and 90.00 degrees. The asymmetric unit holds Sm at (0.031, 0.250, 0.249), Sm at (0.250, 0.565, 0.750), Ho at (0.056, 0.559, 0.250), Ho at (0.250, 0.250, 0.749) and Pu at (0.250, 0.750, 0.250).

For the total magnetization, the calculation gives 12.299 Bohr magnetons per cell. As for the crystal system: orthorhombic. The formation energy from the elements is 0.25 eV/atom.


[19]
DFT (PBE) results for a relaxed Sm2HoPu crystal.

The space group is P4/mmm (No. 123) and the conventional cell measures 3.532, 3.532 and 10.109 Å, with angles of 90.00, 90.00 and 90.00 degrees. The asymmetric unit holds Sm at (0.000, 0.000, 0.246), Ho at (0.500, 0.500, 0.500) and Pu at (0.500, 0.500, 0.000).

For the total magnetization, the calculation gives 6.155 Bohr magnetons per cell. As for the crystal system: tetragonal. The formation energy from the elements is 0.11 eV/atom.


[20]
DFT (PBE) results for a relaxed SmHo14Pu crystal.

The space group is Amm2 (No. 38) and the conventional cell measures 11.199, 7.187 and 12.437 Å, with angles of 90.00, 90.00 and 90.00 degrees. The asymmetric unit holds Sm at (0.000, 0.000, 0.000), Ho at (0.000, 0.250, 0.249), Ho at (0.248, 0.000, 0.335), Ho at (0.249, 0.247, 0.582), Ho at (0.253, 0.000, 0.833), Ho at (0.500, 0.000, 0.000), Ho at (0.500, 0.000, 0.500), Ho at (0.500, 0.250, 0.250) and Pu at (0.000, 0.000, 0.500).

For the total magnetization, the calculation gives 11.868 Bohr magnetons per cell. As for the crystal system: orthorhombic. The formation energy from the elements is 0.03 eV/atom.


[21]
DFT (PBE) results for a relaxed SmHoPuSn crystal.

The space group is F-43m (No. 216) and the conventional cell measures 7.683, 7.683 and 7.683 Å, with angles of 90.00, 90.00 and 90.00 degrees. The asymmetric unit holds Sm at (0.000, 0.000, 0.000), Ho at (0.250, 0.250, 0.750), Pu at (0.000, 0.000, 0.500) and Sn at (0.250, 0.250, 0.250).

For the total magnetization, the calculation gives 27.938 Bohr magnetons per cell. As for the crystal system: cubic. The formation energy from the elements is -0.13 eV/atom.


[22]
DFT (PBE) results for a relaxed Tb2Sm3Ho6Pu crystal.

The space group is C2/m (No. 12) and the conventional cell measures 6.146, 10.649 and 11.691 Å, with angles of 90.00, 100.12 and 90.00 degrees. The asymmetric unit holds Tb at (0.000, 0.167, 0.000), Sm at (0.000, 0.000, 0.500), Sm at (0.000, 0.333, 0.500), Ho at (0.247, 0.335, 0.246), Ho at (0.247, 0.500, 0.754) and Pu at (0.000, 0.500, 0.000).

For the total magnetization, the calculation gives 12.945 Bohr magnetons per cell. As for the crystal system: monoclinic. The formation energy from the elements is 0.04 eV/atom.


[23]
DFT (PBE) results for a relaxed Tb3Sm6Ho2Pu crystal.

The space group is C2/m (No. 12) and the conventional cell measures 6.203, 10.748 and 11.793 Å, with angles of 90.00, 100.13 and 90.00 degrees. The asymmetric unit holds Tb at (0.000, 0.000, 0.000), Tb at (0.000, 0.333, 0.000), Sm at (0.247, 0.335, 0.747), Sm at (0.247, 0.500, 0.253), Ho at (0.000, 0.167, 0.500) and Pu at (0.000, 0.500, 0.500).

For the total magnetization, the calculation gives 13.299 Bohr magnetons per cell. As for the crystal system: monoclinic. The formation energy from the elements is 0.04 eV/atom.